No. 1
A relaxed structure of Ti4AlPb. Source: Alexandria, functional PBE.

Summary:
Total magnetic moment ... 0.000 μB per cell
Energy of formation from the pure elements ... -0.053 eV per atom

abc: 5.0379 6.0300 8.8079
angles: 90.00 124.71 90.00
With the nearest neighbours (Å) after each atom.
Sites, in units of the cell vectors:
Ti: 0.4967 0.5101 0.6571  3 Al 2.78-2.98, 6 Ti 2.79-3.03, 1 Pb 3.01
Ti: 0.9902 0.2500 0.6645  3 Al 2.81-3.02, 7 Ti 2.87-3.03, 2 Pb 2.99
Ti: 0.4967 0.9899 0.6571  3 Al 2.78-2.98, 6 Ti 2.79-3.03, 1 Pb 3.01
Ti: 0.5033 0.4899 0.3429  3 Al 2.78-2.98, 6 Ti 2.79-3.03, 1 Pb 3.01
Ti: 0.5033 0.0101 0.3429  3 Al 2.78-2.98, 6 Ti 2.79-3.03, 1 Pb 3.01
Ti: 0.0050 0.2500 0.0132  4 Pb 2.90-2.97, 7 Ti 2.92-3.12, 1 Al 2.98
Ti: 0.0098 0.7500 0.3355  3 Al 2.81-3.02, 7 Ti 2.87-3.03, 2 Pb 2.99
Ti: 0.9950 0.7500 0.9868  4 Pb 2.90-2.97, 7 Ti 2.92-3.12, 1 Al 2.98
Pb: 0.5000 0.5000 0.0000  8 Ti 2.90-3.01, 2 Pb 3.01, 2 Al 3.16
Pb: 0.5000 0.0000 0.0000  8 Ti 2.90-3.01, 2 Pb 3.01, 2 Al 3.16
Al: 0.9604 0.7500 0.6381  10 Ti 2.78-3.02
Al: 0.0396 0.2500 0.3619  10 Ti 2.78-3.02

No. 2
A relaxed structure of FeCu3. Source: Alexandria, functional PBE.

Summary:
Total magnetic moment ... 6.006 μB per cell
Energy of formation from the pure elements ... 0.268 eV per atom

abc: 4.6226 4.6226 4.6226
angles: 90.00 90.00 90.00
With the nearest neighbours (Å) after each atom.
Sites, in units of the cell vectors:
Cu: 0.0000 0.7500 0.5000  2 Cu 2.31, 4 Fe 2.58
Cu: 0.5000 0.0000 0.2500  2 Cu 2.31, 4 Fe 2.58
Cu: 0.7500 0.5000 0.0000  2 Cu 2.31, 4 Fe 2.58
Cu: 0.2500 0.5000 0.0000  2 Cu 2.31, 4 Fe 2.58
Cu: 0.0000 0.2500 0.5000  2 Cu 2.31, 4 Fe 2.58
Cu: 0.5000 0.0000 0.7500  2 Cu 2.31, 4 Fe 2.58
Fe: 0.5000 0.5000 0.5000  12 Cu 2.58
Fe: 0.0000 0.0000 0.0000  12 Cu 2.58

No. 3
A relaxed structure of Nd2IrO. Source: Alexandria, functional PBE.

Summary:
Total magnetic moment ... 0.000 μB per cell
ΔE_f (raw) ... -1.29 eV/atom

abc: 4.3033 4.3033 7.7704
angles: 73.92 73.92 60.00
With the nearest neighbours (Å) after each atom.
Sites, in units of the cell vectors:
Nd: 0.0967 0.0967 0.7100  1 O 2.13
Nd: 0.9033 0.9033 0.2900  1 O 2.13
O: 0.0000 0.0000 0.0000  2 Nd 2.13
Ir: 0.5000 0.5000 0.5000  6 Nd 2.93

No. 4
A relaxed structure of TaAlAu. Source: Alexandria, functional PBE.

Summary:
Total magnetic moment ... 0.002 μB per cell
Energy of formation from the pure elements ... -0.067 eV per atom

abc: 2.9410 2.9410 6.9308
angles: 90.00 90.00 120.00
With the nearest neighbours (Å) after each atom.
Sites, in units of the cell vectors:
Au: 0.6667 0.3333 0.3244  3 Al 2.80, 6 Au 2.94, 3 Ta 2.95
Al: 0.0000 0.0000 0.0036  3 Au 2.80, 3 Ta 2.86, 6 Al 2.94
Ta: 0.3333 0.6667 0.6720  3 Al 2.86, 6 Ta 2.94, 3 Au 2.95